Entry 1:
## Tb6MgRu5 (PBE)

Data for a relaxed Tb6MgRu5 crystal.

a b c (Å): 4.9035 6.9672 8.4453
angles (deg): 114.36 106.88 90.00
Element x y z (fractional)
Ru (0.6663, 0.6663, 0.3327)
Tb (0.5000, 0.2666, 0.0000)
Ru (0.0000, 0.5000, 0.0000)
Tb (0.1732, 0.9147, 0.3465)
Ru (0.6610, 0.1610, 0.3221)
Tb (0.5000, 0.7334, 0.0000)
Ru (0.3390, 0.8390, 0.6779)
Tb (0.8268, 0.5682, 0.6535)
Ru (0.3337, 0.3337, 0.6673)
Tb (0.8268, 0.0853, 0.6535)
Tb (0.1732, 0.4318, 0.3465)
Mg (0.0000, 0.0000, 0.0000)

Symmetry: Immm (71)
Magnetic moment: 0.0 μB/f.u.
Energy of formation from the pure elements: -6.6 kcal/mol of atoms
Density: 9.89 Mg/m³

---

Entry 2:
## Tb6MgRu2 (PBE)

Data for a relaxed Tb6MgRu2 crystal.

a b c (Å): 8.5473 8.5473 8.5473
angles (deg): 104.09 113.12 111.33
Element x y z (fractional)
Tb (0.3142, 0.3258, 0.6401)
Tb (0.2045, 0.9647, 0.7602)
Ru (0.5000, 0.8743, 0.3743)
Mg (0.0000, 0.0000, 0.0000)
Mg (0.0000, 0.5000, 0.5000)
Tb (0.5322, 0.8171, 0.7152)
Tb (0.1019, 0.8171, 0.2848)
Ru (0.6839, 0.6839, 0.0000)
Tb (0.6858, 0.6742, 0.3599)
Tb (0.6858, 0.3258, 0.0116)
Tb (0.8981, 0.1829, 0.7152)
Tb (0.7955, 0.0353, 0.2398)
Tb (0.7955, 0.5557, 0.7602)
Tb (0.3142, 0.6742, 0.9884)
Ru (0.3161, 0.3161, 0.0000)
Tb (0.4678, 0.1829, 0.2848)
Ru (0.5000, 0.1257, 0.6257)
Tb (0.2045, 0.4443, 0.2398)

Symmetry: Immm (71)
Magnetic moment: 0.0 μB/f.u.
Energy of formation from the pure elements: -5.9 kcal/mol of atoms
Density: 8.21 Mg/m³

---

Entry 3:
## Tb2MgRu2 (PBE)

Data for a relaxed Tb2MgRu2 crystal.

a b c (Å): 5.4342 5.7386 8.1419
angles (deg): 104.68 90.00 118.26
Element x y z (fractional)
Tb (0.1915, 0.7089, 0.3535)
Ru (0.9695, 0.2737, 0.0046)
Ru (0.6958, 0.7263, 0.4954)
Mg (0.8529, 0.0000, 0.2500)
Mg (0.1471, 0.0000, 0.7500)
Ru (0.3042, 0.2737, 0.5046)
Tb (0.5174, 0.7089, 0.8535)
Ru (0.0305, 0.7263, 0.9954)
Tb (0.4826, 0.2911, 0.1465)
Tb (0.8085, 0.2911, 0.6465)

Symmetry: C2/c (15)
Magnetic moment: 0.0 μB/f.u.
Energy of formation from the pure elements: -5.7 kcal/mol of atoms
Density: 8.44 Mg/m³

---

Entry 4:
## Tb4MgRu (PBE)

Data for a relaxed Tb4MgRu crystal.

a b c (Å): 6.1853 9.2091 7.8464
angles (deg): 116.12 100.13 111.84
Element x y z (fractional)
Tb (0.2230, 0.2721, 0.3349)
Tb (0.9240, 0.8067, 0.1685)
Tb (0.7445, 0.3618, 0.1685)
Mg (0.3706, 0.6206, 0.2411)
Tb (0.3881, 0.9373, 0.6651)
Tb (0.2555, 0.6382, 0.8315)
Tb (0.7770, 0.7279, 0.6651)
Mg (0.6294, 0.3794, 0.7589)
Tb (0.0760, 0.1933, 0.8315)
Tb (0.6119, 0.0627, 0.3349)
Ru (0.7511, 0.0011, 0.0022)
Ru (0.2489, 0.9989, 0.9978)

Symmetry: C2/c (15)
Magnetic moment: 0.0 μB/f.u.
Energy of formation from the pure elements: -4.2 kcal/mol of atoms
Density: 7.43 Mg/m³

---

Entry 5:
## Tb5Mg4Ru4 (PBE)

Data for a relaxed Tb5Mg4Ru4 crystal.

a b c (Å): 4.2425 8.3977 8.3977
angles (deg): 86.34 75.37 75.37
Element x y z (fractional)
Ru (0.2399, 0.6986, 0.8217)
Mg (0.8906, 0.5247, 0.6942)
Tb (0.2955, 0.0750, 0.3341)
Mg (0.1094, 0.4753, 0.3058)
Ru (0.7601, 0.3014, 0.1783)
Tb (0.6295, 0.6659, 0.0750)
Tb (0.0000, 0.0000, 0.0000)
Tb (0.3705, 0.3341, 0.9250)
Tb (0.7045, 0.9250, 0.6659)
Ru (0.9385, 0.8217, 0.3014)
Mg (0.5847, 0.3058, 0.5247)
Ru (0.0615, 0.1783, 0.6986)
Mg (0.4153, 0.6942, 0.4753)

Symmetry: I4/m (87)
Magnetic moment: 0.0 μB/f.u.
Energy of formation from the pure elements: -5.7 kcal/mol of atoms
Density: 7.68 Mg/m³

---

Entry 6:
## Tb6MgRu (PBE)

Data for a relaxed Tb6MgRu crystal.

a b c (Å): 6.8813 6.9051 7.4609
angles (deg): 62.62 62.84 60.21
Element x y z (fractional)
Tb (0.4180, 0.7953, 0.7548)
Tb (0.7934, 0.0303, 0.7546)
Tb (0.5820, 0.2047, 0.2452)
Mg (0.5000, 0.5000, 0.5000)
Tb (0.9692, 0.5804, 0.2446)
Tb (0.2066, 0.9697, 0.2454)
Ru (0.0000, 0.0000, 0.0000)
Tb (0.0308, 0.4196, 0.7554)

Symmetry: P-1 (2)
Magnetic moment: 0.0 μB/f.u.
Energy of formation from the pure elements: 2.8 kcal/mol of atoms
Density: 6.87 Mg/m³

---

Entry 7:
## Tb6MgRu2 (PBE)

Data for a relaxed Tb6MgRu2 crystal.

a b c (Å): 5.0419 5.7132 9.4171
angles (deg): 79.21 90.00 116.18
Element x y z (fractional)
Tb (0.2831, 0.5663, 0.8399)
Tb (0.7169, 0.4337, 0.1601)
Mg (0.0000, 0.0000, 0.5000)
Ru (0.3894, 0.7787, 0.0947)
Ru (0.6106, 0.2213, 0.9053)
Tb (0.9642, 0.9285, 0.8449)
Tb (0.3387, 0.6774, 0.3791)
Tb (0.0358, 0.0715, 0.1551)
Tb (0.6613, 0.3226, 0.6209)

Symmetry: C2/m (12)
Magnetic moment: 0.0 μB/f.u.
Energy of formation from the pure elements: -3.1 kcal/mol of atoms
Density: 8.23 Mg/m³

---

Entry 8:
## Tb4MgRu3 (PBE)

Data for a relaxed Tb4MgRu3 crystal.

a b c (Å): 4.8848 7.1507 9.7658
angles (deg): 90.00 90.00 90.00
Element x y z (fractional)
Ru (0.5003, 0.5000, 0.7500)
Tb (0.0002, 0.2332, 0.7500)
Tb (0.5000, 0.2332, 0.0000)
Ru (0.5000, 0.0000, 0.2500)
Mg (0.0000, 0.5000, 0.5000)
Mg (0.0000, 0.5000, 0.0000)
Ru (0.0000, 0.0000, 0.0000)
Tb (0.5000, 0.2332, 0.5000)
Tb (0.9998, 0.2332, 0.2500)
Ru (0.0000, 0.0000, 0.5000)
Tb (0.9998, 0.7668, 0.2500)
Ru (0.5000, 0.0000, 0.7500)
Tb (0.5000, 0.7668, 0.5000)
Tb (0.5000, 0.7668, 0.0000)
Tb (0.0002, 0.7668, 0.7500)
Ru (0.4997, 0.5000, 0.2500)

Symmetry: P4/mmm (123)
Magnetic moment: 0.0 μB/f.u.
Energy of formation from the pure elements: -6.3 kcal/mol of atoms
Density: 9.38 Mg/m³

---

Entry 9:
## Tb7MgRu4 (PBE)

Data for a relaxed Tb7MgRu4 crystal.

a b c (Å): 5.4557 8.3630 7.3232
angles (deg): 76.29 68.13 70.96
Element x y z (fractional)
Ru (0.5646, 0.2208, 0.6500)
Tb (0.6770, 0.3705, 0.2755)
Tb (0.0778, 0.6246, 0.2197)
Ru (0.3030, 0.3434, 0.0506)
Tb (0.7864, 0.8771, 0.5500)
Tb (0.2136, 0.1229, 0.4500)
Mg (0.0000, 0.0000, 0.0000)
Ru (0.6970, 0.6566, 0.9494)
Tb (0.5000, 0.0000, 0.0000)
Tb (0.9222, 0.3754, 0.7803)
Tb (0.3230, 0.6295, 0.7245)
Ru (0.4354, 0.7792, 0.3500)

Symmetry: C2/m (12)
Magnetic moment: 0.0 μB/f.u.
Energy of formation from the pure elements: -1.4 kcal/mol of atoms
Density: 8.81 Mg/m³

---

Entry 10:
## TbThMgRu (PBE)

Data for a relaxed TbThMgRu crystal.

a b c (Å): 5.1271 5.1271 5.1271
angles (deg): 60.00 60.00 60.00
Element x y z (fractional)
Th (0.0000, 0.0000, 0.0000)
Mg (0.2500, 0.2500, 0.2500)
Ru (0.7500, 0.7500, 0.7500)
Tb (0.5000, 0.5000, 0.5000)

Symmetry: F-43m (216)
Magnetic moment: 0.0 μB/f.u.
Energy of formation from the pure elements: -2.8 kcal/mol of atoms
Density: 9.00 Mg/m³

---

Entry 11:
## TbTmMgRu (PBE)

Data for a relaxed TbTmMgRu crystal.

a b c (Å): 4.9992 4.9992 4.9992
angles (deg): 60.00 60.00 60.00
Element x y z (fractional)
Tb (0.5000, 0.5000, 0.5000)
Tm (0.0000, 0.0000, 0.0000)
Ru (0.7500, 0.7500, 0.7500)
Mg (0.2500, 0.2500, 0.2500)

Symmetry: F-43m (216)
Magnetic moment: 0.0 μB/f.u.
Energy of formation from the pure elements: -4.8 kcal/mol of atoms
Density: 8.52 Mg/m³

---

Entry 12:
## TbTmMgRu (PBE)

Data for a relaxed TbTmMgRu crystal.

a b c (Å): 3.4255 3.4255 8.0822
angles (deg): 90.00 90.00 90.00
Element x y z (fractional)
Tm (0.5000, 0.5000, 0.3686)
Ru (0.0000, 0.0000, 0.5661)
Tb (0.5000, 0.5000, 0.7743)
Mg (0.0000, 0.0000, 0.0758)

Symmetry: P4mm (99)
Magnetic moment: 0.0 μB/f.u.
Energy of formation from the pure elements: -7.1 kcal/mol of atoms
Density: 7.94 Mg/m³

---

Q: Look up the energy of formation from the pure elements of the eleventh one.
A: -4.8 kcal/mol of atoms